Below is Ta2SiIr after structural relaxation, with properties calculated at the PBE level.

Lattice parameters (Å, degrees): 9.101 9.101 9.101 18.25 18.25 18.25
Atoms (fractional coordinates):
Ta: 0.007 0.007 0.007
Ir: 0.493 0.493 0.493
Si: 0.755 0.755 0.755
Ta: 0.245 0.245 0.245

Raw formation energy: -0.137 eV per atom
Crystal system: trigonal
Space group: No. 160
V: 65 Å³ per cell
E_tot: -9.63 eV/atom

=====

Below is Mg2BIr3 after structural relaxation, with properties calculated at the PBE level.

Lattice parameters (Å, degrees): 2.922 4.572 7.179 108.57 101.74 90.00
Each line ends with the local moment (μB).
Atoms (fractional coordinates):
Ir: 0.391 0.391 0.781  0.11
Ir: 0.000 0.000 0.000  0.39
Ir: 0.609 0.609 0.219  0.11
Mg: 0.703 0.203 0.406  0.00
Mg: 0.297 0.797 0.594  0.00
B: 0.000 0.500 0.000  0.00

Crystal system: orthorhombic
Space group: No. 71
V: 89 Å³ per cell
ΔH_f (0 K): -0.09 eV/atom
E_tot: -6.17 eV/atom

=====

Below is Ti2TlPd after structural relaxation, with properties calculated at the PBE level.

Lattice parameters (Å, degrees): 4.189 4.104 4.104 90.00 90.00 90.00
Each line ends with the local moment (μB).
Atoms (fractional coordinates):
Ti: 0.000 0.500 0.000  0.20
Pd: 0.500 0.500 0.500  0.02
Ti: 0.000 0.000 0.500  0.20
Tl: 0.500 0.000 0.000  0.00

Crystal system: tetragonal
Space group: No. 123
V: 71 Å³ per cell
ΔH_f (0 K): -0.17 eV/atom
E_tot: -6.00 eV/atom

=====

Below is Y2MgCd after structural relaxation, with properties calculated at the PBE level.

Lattice parameters (Å, degrees): 5.566 5.566 6.185 79.26 79.26 37.32
Atoms (fractional coordinates):
Y: 0.004 0.004 0.996
Y: 0.496 0.496 0.504
Mg: 0.250 0.250 0.250
Cd: 0.750 0.750 0.750

Crystal system: monoclinic
Space group: No. 12
V: 114 Å³ per cell
ΔH_f (0 K): -0.07 eV/atom
E_tot: -3.93 eV/atom